{
  "formula": "Ba3NiMo",
  "functional": "SCAN",
  "state": "single point on PBEsol structure",
  "vol_a3_per_atom": 36.8,
  "energy_ev_per_atom": -32.778,
  "cell": [[-4.643, -3.231, -0.575], [0.671, -1.909, 5.313], [-3.213, 4.271, 1.940]],
  "species": ["Ni", "Mo", "Ba", "Ba", "Ba"],
  "fractional_positions": [[0.500, 0.500, 0.500], [0.000, 0.000, 0.000], [0.000, 0.500, 0.000], [0.000, 0.000, 0.500], [0.500, 0.000, 0.000]]
}

=====

{
  "formula": "Ba2NiMo",
  "functional": "SCAN",
  "state": "single point on PBEsol structure",
  "vol_a3_per_atom": 28.5,
  "energy_ev_per_atom": -31.852,
  "cell": [[-2.420, -0.085, 2.769], [0.457, -5.171, 0.241], [5.448, 3.205, 2.416]],
  "species": ["Ba", "Ba", "Mo", "Ni"],
  "fractional_positions": [[0.982, 0.982, 0.963], [0.767, 0.267, 0.534], [0.570, 0.570, 0.140], [0.181, 0.681, 0.363]]
}

=====

{
  "formula": "Ba2NiMo",
  "functional": "SCAN",
  "state": "single point on PBEsol structure",
  "vol_a3_per_atom": 27.2,
  "energy_ev_per_atom": -31.497,
  "cell": [[3.679, 0.000, 0.000], [0.000, 5.441, 0.000], [0.000, 0.000, 5.441]],
  "species": ["Ba", "Ba", "Mo", "Ni"],
  "fractional_positions": [[0.000, 0.000, 0.500], [0.000, 0.500, 0.000], [0.500, 0.500, 0.500], [0.500, 0.000, 0.000]]
}